(1)
Material: ZrTaAl2
Method: DFT, PBE-GGA
State: optimized geometry

CIF file:
```
data_ZrTaAl2
_chemical_formula_sum 'Zr1 Ta1 Al2'
_symmetry_space_group_name_H-M 'P 1'
_symmetry_Int_Tables_number 1
_cell_length_a 4.161
_cell_length_b 4.161
_cell_length_c 4.157
_cell_angle_alpha 90.00
_cell_angle_beta 90.00
_cell_angle_gamma 90.00
loop_
_symmetry_equiv_pos_as_xyz
'x,y,z'
loop_
_atom_site_label
_atom_site_type_symbol
_atom_site_fract_x
_atom_site_fract_y
_atom_site_fract_z
_atom_site_occupancy
Al1 Al 0.500 0.500 0.000 1
Al2 Al 0.000 0.000 0.000 1
Ta1 Ta 0.500 0.000 0.500 1
Zr1 Zr 0.000 0.500 0.500 1
```

Calculated values
- DFT formation energy (meV per atom) = -296
- offset from the most stable computed form (kJ/mol of atoms) = 3.2
- Fermi-level density of states (states/eV/cell) = 2.4
- SG = P4/mmm
- E (eV/atom) = -7.27

(2)
Material: CdNiCl2
Method: DFT, PBE-GGA
State: optimized geometry

CIF file:
```
data_CdNiCl2
_chemical_formula_sum 'Cd1 Ni1 Cl2'
_symmetry_space_group_name_H-M 'P 1'
_symmetry_Int_Tables_number 1
_cell_length_a 3.102
_cell_length_b 3.102
_cell_length_c 8.977
_cell_angle_alpha 90.00
_cell_angle_beta 90.00
_cell_angle_gamma 90.00
loop_
_symmetry_equiv_pos_as_xyz
'x,y,z'
loop_
_atom_site_label
_atom_site_type_symbol
_atom_site_fract_x
_atom_site_fract_y
_atom_site_fract_z
_atom_site_occupancy
Cl1 Cl 0.000 0.000 0.415 1
Cl2 Cl 0.000 0.000 0.085 1
Ni1 Ni 0.500 0.500 0.250 1
Cd1 Cd 0.500 0.500 0.750 1
```

Calculated values
- offset from the most stable computed form (kJ/mol of atoms) = 37.1
- Fermi-level density of states (states/eV/cell) = 3.3
- raw formation energy (meV per atom) = -8
- SG = P4/mmm
- E (eV/atom) = -2.61